A plane-wave DFT calculation with GGA-PBE was carried out for a geometry-optimized KHg2Mo structure.

Results
Energy of formation from the pure elements (eV/atom): 0.69
Polymorph energy (0 for the lowest one) (meV/atom): 165.2

CIF file:
```
data_KHg2Mo
_chemical_formula_sum 'K2 Hg4 Mo2'
_cell_length_a 4.154
_cell_length_b 4.180
_cell_length_c 10.762
_cell_angle_alpha 90.00
_cell_angle_beta 90.00
_cell_angle_gamma 90.00
_symmetry_space_group_name_H-M 'C m m 2'
_symmetry_Int_Tables_number 35
_symmetry_space_group_name_Hall 'C 2 -2'
loop_
_atom_site_label
_atom_site_fract_x
_atom_site_fract_y
_atom_site_fract_z
K1 0.000 0.000 0.000
Hg1 0.000 0.000 0.477
Hg2 0.000 0.500 0.735
Mo1 0.000 0.500 0.278
```

A plane-wave DFT calculation with GGA-PBE was carried out for a geometry-optimized La2ReBrO structure.

Results
Energy relative to the elements, uncorrected (eV per atom): 0.50

CIF file:
```
data_La2ReBrO
_chemical_formula_sum 'La2 Re1 Br1 O1'
_cell_length_a 5.656
_cell_length_b 5.656
_cell_length_c 4.418
_cell_angle_alpha 90.00
_cell_angle_beta 90.00
_cell_angle_gamma 90.00
_symmetry_space_group_name_H-M 'P 4/m m m'
_symmetry_Int_Tables_number 123
_symmetry_space_group_name_Hall '-P 4 2'
loop_
_atom_site_label
_atom_site_fract_x
_atom_site_fract_y
_atom_site_fract_z
La1 0.000 0.500 0.000
Re1 0.000 0.000 0.500
Br1 0.000 0.000 0.000
O1 0.500 0.500 0.500
```

A plane-wave DFT calculation with GGA-PBE was carried out for a geometry-optimized RuPt2Se structure.

Results
Energy relative to the elements, uncorrected (eV per atom): 0.29

CIF file:
```
data_RuPt2Se
_chemical_formula_sum 'Ru3 Pt6 Se3'
_cell_length_a 2.8342
_cell_length_b 2.8342
_cell_length_c 27.6416
_cell_angle_alpha 90.00
_cell_angle_beta 90.00
_cell_angle_gamma 120.00
_symmetry_space_group_name_H-M 'R -3 m'
_symmetry_Int_Tables_number 166
_symmetry_space_group_name_Hall '-R 3 2"'
loop_
_atom_site_label
_atom_site_fract_x
_atom_site_fract_y
_atom_site_fract_z
Ru1 0.0000 0.0000 0.0000
Pt1 0.0000 0.0000 0.2538
Se1 0.0000 0.0000 0.5000
```

A plane-wave DFT calculation with GGA-PBE was carried out for a geometry-optimized BaLi2Zn structure.

Results
Energy of formation from the pure elements (eV/atom): 0.03

CIF file:
```
data_BaLi2Zn
_chemical_formula_sum 'Ba2 Li4 Zn2'
_cell_length_a 5.167
_cell_length_b 5.167
_cell_length_c 8.648
_cell_angle_alpha 90.00
_cell_angle_beta 90.00
_cell_angle_gamma 90.00
_symmetry_space_group_name_H-M 'I -4 m 2'
_symmetry_Int_Tables_number 119
_symmetry_space_group_name_Hall 'I -4 -2'
loop_
_atom_site_label
_atom_site_fract_x
_atom_site_fract_y
_atom_site_fract_z
Ba1 0.000 0.000 0.000
Li1 0.000 0.000 0.500
Li2 0.000 0.500 0.750
Zn1 0.000 0.500 0.250
```